Entry 1:
This record from Alexandria describes TcAg2Pt at its PBEsol-relaxed geometry. The functional is meta-GGA SCAN.

Lattice parameters (Å, degrees): 2.6529 4.2586 5.4377 90.00 90.00 90.00
Space group Pmmm (No. 47)
One atom of each set of equivalent atoms:
Tc (0.0000, 0.0000, 0.0000) (multiplicity 1)
Ag (0.5000, 0.5000, 0.2476) (multiplicity 2)
Pt (0.0000, 0.0000, 0.5000) (multiplicity 1)

Output
Energy   -166.29 eV/cell

---

Entry 2:
This record from Alexandria describes TcAgPt2 at its PBEsol-relaxed geometry. The functional is meta-GGA SCAN.

Lattice parameters (Å, degrees): 2.7537 2.7537 27.3132 90.00 90.00 120.00
Space group R-3m (No. 166, hexagonal axes)
One atom of each set of equivalent atoms:
Tc (0.0000, 0.0000, 0.0000) (multiplicity 3)
Ag (0.0000, 0.0000, 0.5000) (multiplicity 3)
Pt (0.0000, 0.0000, 0.2540) (multiplicity 6)

Output
Energy   -621.17 eV/cell

---

Entry 3:
This record from Alexandria describes TcAg2Pt at its PBEsol-relaxed geometry. The functional is meta-GGA SCAN.

Lattice parameters (Å, degrees): 2.7489 4.8180 9.5398 90.00 90.00 90.00
Space group Imm2 (No. 44)
One atom of each set of equivalent atoms:
Tc (0.0000, 0.0000, 0.0000) (multiplicity 2)
Ag (0.0000, 0.0000, 0.4809) (multiplicity 2)
Ag (0.0000, 0.5000, 0.2408) (multiplicity 2)
Pt (0.0000, 0.5000, 0.7267) (multiplicity 2)

Output
Energy   -332.92 eV/cell

---

Entry 4:
This record from Alexandria describes TcAgPt2 at its PBEsol-relaxed geometry. The functional is meta-GGA SCAN.

Lattice parameters (Å, degrees): 2.7251 3.9604 5.5495 90.00 90.00 90.00
Space group Pmm2 (No. 25)
One atom of each set of equivalent atoms:
Tc (0.0000, 0.0000, 0.0000) (multiplicity 1)
Ag (0.5000, 0.5000, 0.2724) (multiplicity 1)
Pt (0.0000, 0.0000, 0.5192) (multiplicity 1)
Pt (0.5000, 0.5000, 0.7862) (multiplicity 1)

Output
Energy   -206.34 eV/cell

---

Entry 5:
This record from Alexandria describes TcAgPt2 at its PBEsol-relaxed geometry. The functional is meta-GGA SCAN.

Lattice parameters (Å, degrees): 6.2275 6.2275 6.2275 90.00 90.00 90.00
Space group F-43m (No. 216)
One atom of each set of equivalent atoms:
Tc (0.0000, 0.0000, 0.0000) (multiplicity 4)
Ag (0.2500, 0.2500, 0.2500) (multiplicity 4)
Pt (0.0000, 0.0000, 0.5000) (multiplicity 4)
Pt (0.2500, 0.2500, 0.7500) (multiplicity 4)

Output
Energy   -822.05 eV/cell

---

Entry 6:
This record from Alexandria describes TcAgPt2 at its PBEsol-relaxed geometry. The functional is meta-GGA SCAN.

Lattice parameters (Å, degrees): 2.7384 2.7384 7.9758 90.00 90.00 90.00
Space group P4/mmm (No. 123)
One atom of each set of equivalent atoms:
Tc (0.0000, 0.0000, 0.0000) (multiplicity 1)
Ag (0.0000, 0.0000, 0.5000) (multiplicity 1)
Pt (0.5000, 0.5000, 0.2326) (multiplicity 2)

Output
Energy   -207.49 eV/cell

---

Entry 7:
This record from Alexandria describes TcAg4Pt at its PBEsol-relaxed geometry. The functional is meta-GGA SCAN.

Lattice parameters (Å, degrees): 7.3558 7.3558 7.3558 90.00 90.00 90.00
Space group F-43m (No. 216)
One atom of each set of equivalent atoms:
Tc (0.0000, 0.0000, 0.0000) (multiplicity 4)
Ag (0.1249, 0.1249, 0.6249) (multiplicity 16)
Pt (0.2500, 0.2500, 0.2500) (multiplicity 4)

Output
Energy   -909.27 eV/cell

---

Entry 8:
This record from Alexandria describes Tc2AgPt at its PBEsol-relaxed geometry. The functional is meta-GGA SCAN.

Lattice parameters (Å, degrees): 3.7956 4.0234 7.7274 90.00 90.00 90.00
Space group Imm2 (No. 44)
One atom of each set of equivalent atoms:
Tc (0.0000, 0.0000, 0.0000) (multiplicity 2)
Tc (0.0000, 0.5000, 0.2800) (multiplicity 2)
Ag (0.0000, 0.5000, 0.7596) (multiplicity 2)
Pt (0.0000, 0.0000, 0.5149) (multiplicity 2)

Output
Energy   -341.53 eV/cell

---

Entry 9:
This record from Alexandria describes TcAg2Pt at its PBEsol-relaxed geometry. The functional is meta-GGA SCAN.

Lattice parameters (Å, degrees): 6.2883 6.2883 6.2883 90.00 90.00 90.00
Space group F-43m (No. 216)
One atom of each set of equivalent atoms:
Tc (0.0000, 0.0000, 0.0000) (multiplicity 4)
Ag (0.0000, 0.0000, 0.5000) (multiplicity 4)
Ag (0.2500, 0.2500, 0.2500) (multiplicity 4)
Pt (0.2500, 0.2500, 0.7500) (multiplicity 4)

Output
Energy   -665.58 eV/cell

---

Entry 10:
This record from Alexandria describes AgTe2Pt at its PBEsol-relaxed geometry. The functional is meta-GGA SCAN.

Lattice parameters (Å, degrees): 3.0154 3.6508 7.6448 90.00 90.00 90.00
Space group Pmmm (No. 47)
One atom of each set of equivalent atoms:
Ag (0.0000, 0.0000, 0.0000) (multiplicity 1)
Te (0.5000, 0.5000, 0.2680) (multiplicity 2)
Pt (0.0000, 0.0000, 0.5000) (multiplicity 1)

Output
Uncorrected formation energy   0.238 eV per atom
Energy   -175.11 eV/cell

---

Entry 11:
This record from Alexandria describes Ag4TePt at its PBEsol-relaxed geometry. The functional is meta-GGA SCAN.

Lattice parameters (Å, degrees): 7.5816 7.5816 7.5816 90.00 90.00 90.00
Space group F-43m (No. 216)
One atom of each set of equivalent atoms:
Ag (0.1245, 0.1245, 0.1245) (multiplicity 16)
Te (0.0000, 0.0000, 0.5000) (multiplicity 4)
Pt (0.2500, 0.2500, 0.7500) (multiplicity 4)

Output
Uncorrected formation energy   0.269 eV per atom
Energy   -925.20 eV/cell

---

Entry 12:
This record from Alexandria describes AgTe2Pt at its PBEsol-relaxed geometry. The functional is meta-GGA SCAN.

Lattice parameters (Å, degrees): 3.5038 4.2478 11.9886 90.00 90.00 90.00
Space group Imm2 (No. 44)
One atom of each set of equivalent atoms:
Ag (0.0000, 0.0000, 0.0000) (multiplicity 2)
Te (0.0000, 0.0000, 0.3821) (multiplicity 2)
Te (0.0000, 0.5000, 0.1591) (multiplicity 2)
Pt (0.0000, 0.5000, 0.7075) (multiplicity 2)

Output
Uncorrected formation energy   0.042 eV per atom
Energy   -351.79 eV/cell

---

Which of these has the lowest energy? Ag4TePt